This record from the Alexandria database describes a geometry-optimized ZrAl2BPb structure. The functional is PBE.

Lattice parameters (Å, degrees): 4.183 4.183 5.588 90.00 90.00 90.00
Space group P4/mmm (No. 123)
Asymmetric unit:
Zr  0.000  0.000  0.000 (multiplicity 1)
Al  0.000  0.500  0.500 (multiplicity 2)
B  0.500  0.500  0.500 (multiplicity 1)
Pb  0.500  0.500  0.000 (multiplicity 1)

Values from the calculation:
Fermi-level density of states	3.74	states/eV/f.u.
calculated volume	19.6	Å³ per atom
energy of formation	0.44	eV/atom
total magnetization	0.0	μB per cell
density	6.2	Mg/m³

This record from the Alexandria database describes a geometry-optimized MnPd3Au structure. The functional is PBE.

Lattice parameters (Å, degrees): 3.955 11.886 7.495 90.00 90.00 90.00
Space group Cmcm (No. 63)
Asymmetric unit:
Mn  0.000  0.177  0.250 (multiplicity 4)
Pd  0.000  0.166  0.750 (multiplicity 4)
Pd  0.000  0.338  0.508 (multiplicity 8)
Au  0.000  0.000  0.000 (multiplicity 4)

Values from the calculation:
Fermi-level density of states	3.87	states/eV/f.u.
calculated volume	17.6	Å³ per atom
energy of formation	0.00	eV/atom
total magnetization	18.6	μB per cell
density	10.8	Mg/m³

This record from the Alexandria database describes a geometry-optimized Y2SiRh structure. The functional is PBE.

Lattice parameters (Å, degrees): 4.780 4.780 3.674 90.00 90.00 90.00
Space group P4/mmm (No. 123)
Asymmetric unit:
Y  0.000  0.500  0.000 (multiplicity 2)
Si  0.000  0.000  0.500 (multiplicity 1)
Rh  0.500  0.500  0.500 (multiplicity 1)

Values from the calculation:
Fermi-level density of states	1.82	states/eV/f.u.
calculated volume	21.0	Å³ per atom
total magnetization	0.0	μB per cell
density	6.1	Mg/m³
E_form (uncorrected)	-0.693	eV per atom

This record from the Alexandria database describes a geometry-optimized BeZn2Tc structure. The functional is PBE.

Lattice parameters (Å, degrees): 3.668 3.668 7.683 90.00 90.00 90.00
Space group I-4m2 (No. 119)
Asymmetric unit:
Be  0.000  0.000  0.000 (multiplicity 2)
Zn  0.000  0.000  0.500 (multiplicity 2)
Zn  0.000  0.500  0.250 (multiplicity 2)
Tc  0.000  0.500  0.750 (multiplicity 2)

Values from the calculation:
Fermi-level density of states	3.28	states/eV/f.u.
calculated volume	12.9	Å³ per atom
energy of formation	0.12	eV/atom
total magnetization	0.0	μB per cell
density	7.6	Mg/m³

This record from the Alexandria database describes a geometry-optimized Sm3AgN structure. The functional is PBE.

Lattice parameters (Å, degrees): 4.928 4.928 4.928 90.00 90.00 90.00
Space group Pm-3m (No. 221)
Asymmetric unit:
Sm  0.000  0.000  0.500 (multiplicity 3)
Ag  0.500  0.500  0.500 (multiplicity 1)
N  0.000  0.000  0.000 (multiplicity 1)

Values from the calculation:
Fermi-level density of states	4.68	states/eV/f.u.
calculated volume	23.9	Å³ per atom
total magnetization	0.0	μB per cell
density	8.0	Mg/m³
E_form (uncorrected)	-0.641	eV per atom

This record from the Alexandria database describes a geometry-optimized Sc2TiTe structure. The functional is PBE.

Lattice parameters (Å, degrees): 8.018 8.018 5.868 90.00 90.00 90.00
Space group I-42d (No. 122)
Asymmetric unit:
Sc  0.235  0.250  0.125 (multiplicity 8)
Ti  0.000  0.000  0.500 (multiplicity 4)
Te  0.000  0.000  0.000 (multiplicity 4)

Values from the calculation:
Fermi-level density of states	4.30	states/eV/f.u.
calculated volume	23.6	Å³ per atom
total magnetization	1.6	μB per cell
density	4.7	Mg/m³
E_form (uncorrected)	0.018	eV per atom